No. 1
The following is a DFT calculation (PBE-GGA) of CrCdBr after structural relaxation.

Cell lengths 6.8629, 6.8629, 6.8629 Å; angles 90.00, 90.00, 90.00 degrees
With the nearest neighbours (Å) after each atom.
Space group F-43m (No. 216)
Asymmetric unit:
Cr1 0.0000 0.0000 0.0000 x4  4 Cd 2.97, 4 Br 2.97
Cd1 0.2500 0.2500 0.7500 x4  4 Cr 2.97
Br1 0.2500 0.2500 0.2500 x4  4 Cr 2.97

Calculated values
The raw formation energy comes out at 0.302 eV per atom. The magnetization is 1.6432 μB/atom. The crystal system is cubic. As for the energy: -11.304 eV per formula unit.

---

No. 2
The following is a DFT calculation (PBE-GGA) of SbAs2H after structural relaxation.

Cell lengths 3.9996, 3.9996, 20.3691 Å; angles 90.00, 90.00, 120.00 degrees
With the nearest neighbours (Å) after each atom.
Space group R-3m (No. 166, hexagonal axes)
Asymmetric unit:
Sb1 0.0000 0.0000 0.0000 x3  6 As 2.81
As1 0.0000 0.0000 0.4120 x6  1 H 1.79
H1 0.0000 0.0000 0.5000 x3  2 As 1.79

Calculated values
The magnetization is 0.0000 μB/atom. The crystal system is trigonal. As for the energy: -15.196 eV per formula unit.

---

No. 3
The following is a DFT calculation (PBE-GGA) of HgB2H6 after structural relaxation.

Cell lengths 6.2432, 6.2432, 6.2432 Å; angles 90.00, 90.00, 90.00 degrees
With the nearest neighbours (Å) after each atom.
Space group Fm-3m (No. 225)
Asymmetric unit:
Hg1 0.0000 0.0000 0.0000 x4  6 H 2.10
B1 0.2500 0.2500 0.2500 x8  12 H 2.27
H1 0.0000 0.0000 0.3358 x24  4 H 1.45

Calculated values
The magnetization is 0.0000 μB/atom. The crystal system is cubic. As for the energy: -19.971 eV per formula unit.

---

No. 4
The following is a DFT calculation (PBE-GGA) of Li2MnRh after structural relaxation.

Cell lengths 2.6400, 2.6400, 8.3599 Å; angles 90.00, 90.00, 90.00 degrees
With the nearest neighbours (Å) after each atom.
Space group P4/mmm (No. 123)
Asymmetric unit:
Li1 0.0000 0.0000 0.2301 x2  4 Li 2.64, 4 Rh 2.68, 4 Mn 2.93
Mn1 0.5000 0.5000 0.5000 x1  4 Mn 2.64, 8 Li 2.93
Rh1 0.5000 0.5000 0.0000 x1  4 Rh 2.64, 8 Li 2.68

Calculated values
The magnetization is 1.0222 μB/atom. The formation energy comes out at 0.205 eV/atom. The crystal system is tetragonal. As for the energy: -19.530 eV per formula unit.